A plane-wave DFT calculation with GGA-PBE was carried out for a relaxed structure of NaHgSb3.

Unit cell a=5.6618 b=5.6618 c=5.6618 alpha=90.00 beta=90.00 gamma=90.00
With the nearest neighbours (Å) after each atom.
Atoms (fractional coordinates):
Sb (0.5000, 0.0000, 0.0000)  2 Hg 2.83
Sb (0.0000, 0.5000, 0.0000)  2 Hg 2.83
Sb (0.0000, 0.0000, 0.5000)  2 Hg 2.83
Na (0.5000, 0.5000, 0.5000)  12 Sb 4.00
Hg (0.0000, 0.0000, 0.0000)  6 Sb 2.83

Crystal system = cubic
Energy = -11.52 eV/cell
Raw formation energy = 0.4927 eV per atom
DOS at the Fermi energy = 5.406 states/eV per cell



A plane-wave DFT calculation with GGA-PBE was carried out for a relaxed structure of Pr2Al6Os.

Unit cell a=5.7476 b=6.0345 c=6.0345 alpha=60.00 beta=89.99 gamma=89.99
With the nearest neighbours (Å) after each atom.
Atoms (fractional coordinates):
Os (0.0000, 0.0000, 0.0000)  6 Al 2.53
Al (0.6858, 0.6606, 0.1697)  1 Os 2.53, 2 Al 2.78
Al (0.6858, 0.1697, 0.6606)  1 Os 2.53, 2 Al 2.78
Al (0.3143, 0.8302, 0.8302)  1 Os 2.53, 2 Al 2.78
Al (0.6857, 0.1698, 0.1698)  1 Os 2.53, 2 Al 2.78
Al (0.3142, 0.3394, 0.8303)  1 Os 2.53, 2 Al 2.78
Al (0.3142, 0.8303, 0.3394)  1 Os 2.53, 2 Al 2.78
Pr (0.8253, 0.6667, 0.6667)  12 Al 3.12-3.40
Pr (0.1747, 0.3333, 0.3333)  12 Al 3.12-3.40

Crystal system = trigonal
Energy = -46.84 eV/cell
DOS at the Fermi energy = 6.362 states/eV per cell
Energy of formation from the pure elements = -0.399 eV/atom



A plane-wave DFT calculation with GGA-PBE was carried out for a relaxed structure of LaPm3Y4.

Unit cell a=3.6363 b=6.2791 c=11.9260 alpha=100.27 beta=90.00 gamma=90.00
With the nearest neighbours (Å) after each atom.
Atoms (fractional coordinates):
Y (0.0000, 0.2508, 0.2517)  4 Pm 3.59-3.62, 2 La 3.62, 6 Y 3.63-3.64
Y (0.5000, 0.7503, 0.2511)  5 Pm 3.59-3.61, 1 La 3.62, 6 Y 3.63-3.64
Y (0.5000, 0.2497, 0.7489)  5 Pm 3.59-3.61, 1 La 3.62, 6 Y 3.63-3.64
Y (0.0000, 0.7492, 0.7483)  4 Pm 3.59-3.62, 2 La 3.62, 6 Y 3.63-3.64
Pm (0.0000, 0.0000, 0.5000)  6 Y 3.59, 6 Pm 3.63-3.64
Pm (0.5000, 0.5000, 0.5000)  6 Y 3.59-3.60, 6 Pm 3.63-3.64
Pm (0.0000, 0.5000, 0.0000)  6 Y 3.61-3.62, 4 La 3.63, 2 Pm 3.64
La (0.5000, 0.0000, 0.0000)  6 Y 3.62, 4 Pm 3.63, 2 La 3.64

Crystal system = monoclinic
Energy = -44.93 eV/cell
DOS at the Fermi energy = 11.042 states/eV per cell
Energy of formation from the pure elements = 0.013 eV/atom



A plane-wave DFT calculation with GGA-PBE was carried out for a relaxed structure of Dy2SnRh.

Unit cell a=3.4454 b=3.4454 c=7.9016 alpha=90.00 beta=90.00 gamma=90.00
With the nearest neighbours (Å) after each atom.
Atoms (fractional coordinates):
Dy (0.0000, 0.0000, 0.7861)  4 Rh 2.97
Dy (0.0000, 0.0000, 0.2139)  4 Rh 2.97
Rh (0.5000, 0.5000, 0.0000)  8 Dy 2.97
Sn (0.5000, 0.5000, 0.5000)  8 Dy 3.32, 4 Sn 3.45

Crystal system = tetragonal
Energy = -23.65 eV/cell
DOS at the Fermi energy = 2.407 states/eV per cell
Energy of formation from the pure elements = -0.773 eV/atom



A plane-wave DFT calculation with GGA-PBE was carried out for a relaxed structure of KRb2RhO4.

Unit cell a=6.1314 b=6.1314 c=6.1314 alpha=103.92 beta=112.32 gamma=112.32
With the nearest neighbours (Å) after each atom.
Atoms (fractional coordinates):
Rb (0.5000, 0.7500, 0.2500)  4 O 2.78
Rb (0.0000, 0.0000, 0.0000)  8 O 3.16-3.43
K (0.5000, 0.2500, 0.7500)  4 O 2.63
Rh (0.0000, 0.5000, 0.5000)  4 O 1.87
O (0.0177, 0.2109, 0.5335)  1 Rh 1.87
O (0.3226, 0.8068, 0.7891)  1 Rh 1.87
O (0.6774, 0.4665, 0.4842)  1 Rh 1.87
O (0.9823, 0.5158, 0.1932)  1 Rh 1.87

Crystal system = tetragonal
Energy = -38.63 eV/cell
Raw formation energy = -1.0518 eV per atom



A plane-wave DFT calculation with GGA-PBE was carried out for a relaxed structure of K2TlPb2.

Unit cell a=10.0573 b=10.0573 c=3.7630 alpha=90.00 beta=90.00 gamma=90.00
With the nearest neighbours (Å) after each atom.
Atoms (fractional coordinates):
K (0.1916, 0.6916, 0.5000)  6 Pb 3.44-3.64, 2 K 3.76
K (0.3084, 0.1916, 0.5000)  6 Pb 3.44-3.64, 2 K 3.76
K (0.8084, 0.3084, 0.5000)  6 Pb 3.44-3.64, 2 K 3.76
K (0.6916, 0.8084, 0.5000)  6 Pb 3.44-3.64, 2 K 3.76
Tl (0.0000, 0.0000, 0.0000)  2 Tl 3.76, 4 Pb 4.10, 8 K 4.11
Tl (0.5000, 0.5000, 0.0000)  2 Tl 3.76, 4 Pb 4.10, 8 K 4.11
Pb (0.8940, 0.6060, 0.0000)  1 Pb 3.01
Pb (0.6060, 0.1060, 0.0000)  1 Pb 3.01
Pb (0.3940, 0.8940, 0.0000)  1 Pb 3.01
Pb (0.1060, 0.3940, 0.0000)  1 Pb 3.01

Crystal system = tetragonal
Energy = -23.93 eV/cell
DOS at the Fermi energy = 6.100 states/eV per cell
Energy of formation from the pure elements = 0.002 eV/atom



What did the first record say?
A plane-wave DFT calculation with GGA-PBE was carried out for a relaxed structure of NaHgSb3.

Unit cell a=5.6618 b=5.6618 c=5.6618 alpha=90.00 beta=90.00 gamma=90.00
With the nearest neighbours (Å) after each atom.
Atoms (fractional coordinates):
Sb (0.5000, 0.0000, 0.0000)  2 Hg 2.83
Sb (0.0000, 0.5000, 0.0000)  2 Hg 2.83
Sb (0.0000, 0.0000, 0.5000)  2 Hg 2.83
Na (0.5000, 0.5000, 0.5000)  12 Sb 4.00
Hg (0.0000, 0.0000, 0.0000)  6 Sb 2.83

Crystal system = cubic
Energy = -11.52 eV/cell
Raw formation energy = 0.4927 eV per atom
DOS at the Fermi energy = 5.406 states/eV per cell



> Which of these has the lowest energy?

Pr2Al6Os



> Among the records above, which one has the highest energy?

NaHgSb3